1.
# Th4GaReSe2

Th4GaReSe2 after structural relaxation (GGA-PBE, Alexandria).

* raw formation energy: -0.82 eV/atom
* magnetic moment: 0.0 μB per formula unit
* SG: P2/m (10)

Cell: 4.2368 7.3048 7.5928 Å, 108.58 90.00 90.00°
Element x y z (fractional)
Th  0.5000  0.2294  0.2224
Th  0.5000  0.7706  0.7776
Th  0.0000  0.2375  0.7713
Th  0.0000  0.7625  0.2287
Ga  0.5000  0.5000  0.0000
Re  0.0000  0.0000  0.0000
Se  0.5000  0.0000  0.5000
Se  0.0000  0.5000  0.5000

***

2.
# GaRe3Si

GaRe3Si after structural relaxation (GGA-PBE, Alexandria).

* raw formation energy: 1.25 eV/atom
* magnetic moment: 0.0 μB per formula unit
* SG: Pm-3m (221)

Cell: 4.4176 4.4176 4.4176 Å, 90.00 90.00 90.00°
Element x y z (fractional)
Re  0.0000  0.5000  0.0000
Re  0.0000  0.0000  0.5000
Re  0.5000  0.0000  0.0000
Si  0.0000  0.0000  0.0000
Ga  0.5000  0.5000  0.5000

***

3.
# GaReSi

GaReSi after structural relaxation (GGA-PBE, Alexandria).

* excess energy over the best structure of this formula in the dataset: 0.282 eV per atom
* raw formation energy: 0.18 eV/atom
* magnetic moment: 0.0 μB per formula unit
* SG: P-6m2 (187)

Cell: 3.2198 4.0958 4.0958 Å, 120.00 90.00 90.00°
Element x y z (fractional)
Re  0.1668  0.0000  0.0000
Si  0.1664  0.3333  0.6667
Ga  0.6668  0.6667  0.3333

***

no.,ρ (g/cm3),final energy (eV/cell)
1,10.00,-58.708
2,12.64,-39.561
3,10.08,-20.368